This record from Alexandria describes a relaxed PaMnPd crystal. The functional is PBE.

```
data_PaMnPd
_space_group_name_H-M_alt 'P 1'
_space_group_IT_number 1
_cell_length_a 3.506
_cell_length_b 4.194
_cell_length_c 4.194
_cell_angle_alpha 120.00
_cell_angle_beta 90.00
_cell_angle_gamma 90.00
loop_
_space_group_symop_operation_xyz
'x,y,z'
loop_
_atom_site_label
_atom_site_type_symbol
_atom_site_fract_x
_atom_site_fract_y
_atom_site_fract_z
Mn1 Mn 0.500 0.667 0.333
Pa1 Pa 0.500 0.333 0.667
Pd1 Pd 0.000 0.000 0.000
```

## Properties
Fermi-level density of states: 0.4 states/eV/cell
volume: 17.80 A^3/atom
DFT formation energy: -0.05 eV/atom
VASP energy: -8.004 eV/atom
offset from the most stable computed form: 0.032 eV per atom